# 1
! NaLa3Os, relaxed, DFT PBE; values from VASP
&SYSTEM
  ibrav = 0, nat = 10, ntyp = 3
/
ATOMIC_SPECIES
Na 22.99 Na.upf
La 138.91 La.upf
Os 190.23 Os.upf
CELL_PARAMETERS angstrom
6.568 -2.934 0.000
6.568 2.934 0.000
-4.140 0.000 9.409
ATOMIC_POSITIONS angstrom
Na -0.419 0.000 4.089
Na 9.416 0.000 5.320
La -2.100 0.000 8.807
La 3.370 0.000 3.071
La 1.843 0.000 7.546
La 7.154 0.000 1.863
La 5.627 0.000 6.338
La 11.097 0.000 0.602
Os 4.645 0.000 0.776
Os 4.351 0.000 8.633
! Total moment = 0.0 μB/f.u.
! Theoretical density = 5.8 g/cm3
! Formation enthalpy at 0 K = -29 meV/atom

# 2
! Yb2Fe4Si9, relaxed, DFT PBE; values from VASP
&SYSTEM
  ibrav = 0, nat = 15, ntyp = 3
/
ATOMIC_SPECIES
Yb 173.04 Yb.upf
Fe 55.84 Fe.upf
Si 28.09 Si.upf
CELL_PARAMETERS angstrom
3.932 0.000 0.000
-1.966 3.405 0.000
0.000 0.000 16.462
ATOMIC_POSITIONS angstrom
Yb 0.000 2.270 3.950
Yb 1.966 1.135 12.511
Fe 0.000 2.270 9.542
Fe 0.000 2.270 14.844
Fe 1.966 1.135 1.618
Fe 1.966 1.135 6.920
Si 0.000 0.000 2.047
Si 0.000 0.000 5.799
Si 0.000 0.000 8.231
Si 0.000 0.000 10.662
Si 0.000 0.000 14.415
Si 0.000 2.270 0.697
Si 0.000 2.270 7.036
Si 1.966 1.135 9.425
Si 1.966 1.135 15.765
! Total moment = 0.4 μB/f.u.
! Theoretical density = 6.2 g/cm3
! Energy relative to the elements, uncorrected = -404.4 kJ/mol of formula units

# 3
! Ce2Y3ScSe6, relaxed, DFT PBE; values from VASP
&SYSTEM
  ibrav = 0, nat = 12, ntyp = 4
/
ATOMIC_SPECIES
Ce 140.12 Ce.upf
Y 88.91 Y.upf
Sc 44.96 Sc.upf
Se 78.96 Se.upf
CELL_PARAMETERS angstrom
8.932 -2.037 0.000
8.932 2.037 0.000
-1.955 0.000 8.012
ATOMIC_POSITIONS angstrom
Ce 2.326 0.000 2.683
Ce 13.583 0.000 5.329
Y 1.394 0.000 6.682
Y 7.955 0.000 4.006
Y 14.515 0.000 1.330
Sc 8.932 0.000 0.000
Se -1.434 0.000 6.109
Se 5.205 0.000 3.287
Se 4.238 0.000 7.418
Se 11.671 0.000 0.594
Se 10.704 0.000 4.725
Se 17.343 0.000 1.904
! Total moment = 2.2 μB/f.u.
! Theoretical density = 6.1 g/cm3
! Energy relative to the elements, uncorrected = -2023.9 kJ/mol of formula units

# 4
! Ca3TlP, relaxed, DFT PBE; values from VASP
&SYSTEM
  ibrav = 0, nat = 10, ntyp = 3
/
ATOMIC_SPECIES
Ca 40.08 Ca.upf
Tl 204.38 Tl.upf
P 30.97 P.upf
CELL_PARAMETERS angstrom
7.281 0.000 0.000
0.000 4.400 0.000
-1.529 0.000 9.162
ATOMIC_POSITIONS angstrom
Ca -0.041 1.100 1.489
Ca 1.704 3.300 3.707
Ca 2.092 3.300 7.707
Ca 3.660 1.100 1.455
Ca 4.048 1.100 5.456
Ca 5.794 3.300 7.673
Tl 0.189 1.100 5.507
Tl 5.564 3.300 3.655
P 1.828 3.300 0.833
P 3.924 1.100 8.329
! Total moment = 0.0 μB/f.u.
! Theoretical density = 4.0 g/cm3
! Formation enthalpy at 0 K = -720 meV/atom

# 5
! Ag5Te7, relaxed, DFT PBE; values from VASP
&SYSTEM
  ibrav = 0, nat = 12, ntyp = 2
/
ATOMIC_SPECIES
Ag 107.87 Ag.upf
Te 127.60 Te.upf
CELL_PARAMETERS angstrom
-4.576 4.576 5.425
4.576 -4.576 5.425
4.576 4.576 -5.425
ATOMIC_POSITIONS angstrom
Ag 0.000 0.000 0.000
Ag 2.766 2.766 1.633
Ag 1.811 -1.811 7.058
Ag -1.811 1.811 7.058
Ag 1.811 1.811 7.058
Te 2.731 0.000 0.900
Te 6.422 0.000 0.900
Te 0.000 2.731 0.900
Te 4.576 0.000 4.213
Te 0.000 0.000 8.015
Te 0.000 6.422 0.900
Te 0.000 4.576 4.213
! Total moment = 0.0 μB/f.u.
! Theoretical density = 5.2 g/cm3
! Energy relative to the elements, uncorrected = 140.5 kJ/mol of formula units

# 6
! RbAlTe3, relaxed, DFT PBE; values from VASP
&SYSTEM
  ibrav = 0, nat = 5, ntyp = 3
/
ATOMIC_SPECIES
Rb 85.47 Rb.upf
Al 26.98 Al.upf
Te 127.60 Te.upf
CELL_PARAMETERS angstrom
6.295 0.000 0.000
0.000 6.295 0.000
0.000 0.000 6.295
ATOMIC_POSITIONS angstrom
Rb 0.000 0.000 0.000
Al 3.148 3.148 3.148
Te 0.000 0.000 3.148
Te 0.000 3.148 0.000
Te 3.148 0.000 0.000
! Total moment = 0.0 μB/f.u.
! Theoretical density = 3.3 g/cm3
! Energy relative to the elements, uncorrected = 462.9 kJ/mol of formula units

# 7
! TcPbC3, relaxed, DFT PBE; values from VASP
&SYSTEM
  ibrav = 0, nat = 5, ntyp = 3
/
ATOMIC_SPECIES
Tc 98.00 Tc.upf
Pb 207.20 Pb.upf
C 12.01 C.upf
CELL_PARAMETERS angstrom
4.114 0.000 0.000
0.000 4.114 0.000
0.000 0.000 4.114
ATOMIC_POSITIONS angstrom
Tc 0.000 0.000 0.000
Pb 2.057 2.057 2.057
C 0.000 0.000 2.057
C 0.000 2.057 0.000
C 2.057 0.000 0.000
! Total moment = 0.0 μB/f.u.
! Theoretical density = 8.1 g/cm3
! Formation enthalpy at 0 K = 1728 meV/atom

Question: Which of these has the lowest theoretical density?
Answer: RbAlTe3